Computed, not measured: an optimized crystal structure of BaYPt2 at the PBE-GGA level of DFT.

Unit cell a=5.1883 b=5.1883 c=5.1883 alpha=60.00 beta=60.00 gamma=60.00
Fractional coordinates of all 4 atoms:
1 Y 0.0000 0.0000 0.0000
2 Ba 0.5000 0.5000 0.5000
3 Pt 0.2500 0.2500 0.2500
4 Pt 0.7500 0.7500 0.7500

## Properties
The volume comes out at 24.69 Å³ per atom. The value obtained for the calculated formation energy is -744 meV per atom. For the density of states at the Fermi level, the calculation gives 2.14 states/eV per cell. As for the space group: Fm-3m (225). For the total DFT energy (no corrections), the calculation gives -5.8616 eV per atom.



Computed, not measured: an optimized crystal structure of Ba2YPt at the PBE-GGA level of DFT.

Unit cell a=3.8072 b=3.8072 c=10.3619 alpha=90.00 beta=90.00 gamma=90.00
Fractional coordinates of all 4 atoms:
1 Ba 0.0000 0.0000 0.9643
2 Ba 0.5000 0.5000 0.3296
3 Pt 0.0000 0.0000 0.5446
4 Y 0.5000 0.5000 0.6614

## Properties
The volume comes out at 37.55 Å³ per atom. The value obtained for the calculated formation energy is -444 meV per atom. For the density of states at the Fermi level, the calculation gives 3.26 states/eV per cell. As for the space group: P4mm (99). For the total DFT energy (no corrections), the calculation gives -4.5312 eV per atom.



Computed, not measured: an optimized crystal structure of Ba2YPt at the PBE-GGA level of DFT.

Unit cell a=7.2828 b=7.2828 c=7.2828 alpha=148.51 beta=129.56 gamma=60.69
Fractional coordinates of all 4 atoms:
1 Ba 0.0047 0.0047 0.0000
2 Ba 0.6859 0.1859 0.5000
3 Pt 0.4802 0.4802 0.0000
4 Y 0.3292 0.8292 0.5000

## Properties
The volume comes out at 38.55 Å³ per atom. The value obtained for the calculated formation energy is -377 meV per atom. For the density of states at the Fermi level, the calculation gives 4.16 states/eV per cell. As for the space group: Imm2 (44). For the total DFT energy (no corrections), the calculation gives -4.4646 eV per atom.



Computed, not measured: an optimized crystal structure of Ba4YPt at the PBE-GGA level of DFT.

Unit cell a=7.1165 b=7.1165 c=7.1165 alpha=60.00 beta=60.00 gamma=60.00
Last column: magnetic moment on the atom in μB.
Fractional coordinates of all 6 atoms:
1 Ba 0.8714 0.3762 0.3762  0.14
2 Ba 0.3762 0.3762 0.8714  0.14
3 Ba 0.3762 0.8714 0.3762  0.14
4 Ba 0.3762 0.3762 0.3762  0.14
5 Y 0.0000 0.0000 0.0000  0.47
6 Pt 0.7500 0.7500 0.7500  0.11

## Properties
The volume comes out at 42.47 Å³ per atom. The value obtained for the calculated formation energy is 670 meV per atom. For the density of states at the Fermi level, the calculation gives 7.75 states/eV per cell. As for the space group: F-43m (216). For the total DFT energy (no corrections), the calculation gives -2.6956 eV per atom.



Computed, not measured: an optimized crystal structure of Ba2YPt at the PBE-GGA level of DFT.

Unit cell a=6.7228 b=6.7228 c=6.7228 alpha=139.74 beta=139.74 gamma=58.25
Fractional coordinates of all 4 atoms:
1 Ba 0.0000 0.0000 0.0000
2 Ba 0.5000 0.5000 0.0000
3 Pt 0.2500 0.7500 0.5000
4 Y 0.7500 0.2500 0.5000

## Properties
The volume comes out at 31.44 Å³ per atom. The value obtained for the calculated formation energy is 9 meV per atom. For the density of states at the Fermi level, the calculation gives 3.54 states/eV per cell. As for the space group: I4/mmm (139). For the total DFT energy (no corrections), the calculation gives -4.0787 eV per atom.



Computed, not measured: an optimized crystal structure of Ba2YPt at the PBE-GGA level of DFT.

Unit cell a=5.6034 b=5.6034 c=5.6034 alpha=60.00 beta=60.00 gamma=60.00
Fractional coordinates of all 4 atoms:
1 Ba 0.0000 0.0000 0.0000
2 Ba 0.2500 0.2500 0.2500
3 Pt 0.5000 0.5000 0.5000
4 Y 0.7500 0.7500 0.7500

## Properties
The volume comes out at 31.10 Å³ per atom. The value obtained for the calculated formation energy is 33 meV per atom. For the density of states at the Fermi level, the calculation gives 4.44 states/eV per cell. As for the space group: F-43m (216). For the total DFT energy (no corrections), the calculation gives -4.0544 eV per atom.



Computed, not measured: an optimized crystal structure of BaYZn2Pt2 at the PBE-GGA level of DFT.

Unit cell a=4.5020 b=4.5020 c=8.0335 alpha=90.00 beta=90.00 gamma=120.00
Fractional coordinates of all 6 atoms:
1 Ba 0.0000 0.0000 0.0000
2 Y 0.0000 0.0000 0.5000
3 Zn 0.6667 0.3333 0.2997
4 Zn 0.3333 0.6667 0.7003
5 Pt 0.6667 0.3333 0.6945
6 Pt 0.3333 0.6667 0.3055

## Properties
The volume comes out at 23.50 Å³ per atom. The value obtained for the calculated formation energy is -793 meV per atom. For the density of states at the Fermi level, the calculation gives 5.85 states/eV per cell. As for the space group: P-3m1 (164). For the total DFT energy (no corrections), the calculation gives -4.6295 eV per atom.



Computed, not measured: an optimized crystal structure of BaZnPt2 at the PBE-GGA level of DFT.

Unit cell a=5.2763 b=6.0089 c=7.1262 alpha=70.10 beta=74.41 gamma=66.59
Fractional coordinates of all 8 atoms:
1 Zn 0.4476 0.8463 0.3500
2 Zn 0.5524 0.1537 0.6500
3 Ba 0.8067 0.5583 0.7743
4 Ba 0.1933 0.4417 0.2257
5 Pt 0.2530 0.0030 0.9911
6 Pt 0.7470 0.9970 0.0089
7 Pt 0.8850 0.9954 0.3488
8 Pt 0.1150 0.0046 0.6512

## Properties
The volume comes out at 24.08 Å³ per atom. The value obtained for the calculated formation energy is -612 meV per atom. For the density of states at the Fermi level, the calculation gives 3.82 states/eV per cell. As for the space group: P-1 (2). For the total DFT energy (no corrections), the calculation gives -4.4316 eV per atom.



Computed, not measured: an optimized crystal structure of Ba4Zn3Pt at the PBE-GGA level of DFT.

Unit cell a=4.7816 b=4.6794 c=12.4714 alpha=90.00 beta=90.00 gamma=90.00
Fractional coordinates of all 8 atoms:
1 Zn 0.0000 0.5000 0.5506
2 Zn 0.0000 0.0000 0.4418
3 Zn 0.5000 0.0000 0.9521
4 Ba 0.5000 0.5000 0.3460
5 Ba 0.0000 0.5000 0.8718
6 Ba 0.0000 0.0000 0.1396
7 Ba 0.5000 0.0000 0.6440
8 Pt 0.5000 0.5000 0.0541

## Properties
The volume comes out at 34.88 Å³ per atom. The value obtained for the calculated formation energy is -345 meV per atom. For the density of states at the Fermi level, the calculation gives 5.54 states/eV per cell. As for the space group: Pmm2 (25). For the total DFT energy (no corrections), the calculation gives -2.5393 eV per atom.



Computed, not measured: an optimized crystal structure of BaZnPt3 at the PBE-GGA level of DFT.

Unit cell a=4.8259 b=4.8259 c=4.8259 alpha=90.00 beta=90.00 gamma=90.00
Fractional coordinates of all 5 atoms:
1 Zn 0.0000 0.0000 0.0000
2 Ba 0.5000 0.5000 0.5000
3 Pt 0.0000 0.5000 0.0000
4 Pt 0.0000 0.0000 0.5000
5 Pt 0.5000 0.0000 0.0000

## Properties
The volume comes out at 22.48 Å³ per atom. The value obtained for the calculated formation energy is -137 meV per atom. For the density of states at the Fermi level, the calculation gives 2.08 states/eV per cell. As for the space group: Pm-3m (221). For the total DFT energy (no corrections), the calculation gives -4.4009 eV per atom.



Computed, not measured: an optimized crystal structure of BaZnPt2 at the PBE-GGA level of DFT.

Unit cell a=4.5486 b=5.0044 c=4.6832 alpha=89.64 beta=90.00 gamma=90.00
Fractional coordinates of all 4 atoms:
1 Ba 0.5000 0.7849 0.7503
2 Pt 0.0000 0.9766 0.2490
3 Pt 0.5000 0.2524 0.2488
4 Zn 0.0000 0.4861 0.2519

## Properties
The volume comes out at 26.65 Å³ per atom. The value obtained for the calculated formation energy is -522 meV per atom. For the density of states at the Fermi level, the calculation gives 0.87 states/eV per cell. As for the space group: Pm (6). For the total DFT energy (no corrections), the calculation gives -4.3419 eV per atom.



Computed, not measured: an optimized crystal structure of BaZnPt2 at the PBE-GGA level of DFT.

Unit cell a=5.6333 b=5.9570 c=6.6573 alpha=97.64 beta=108.61 gamma=115.37
Fractional coordinates of all 8 atoms:
1 Zn 0.5878 0.4841 0.5377
2 Zn 0.3087 0.7886 0.5522
3 Ba 0.1603 0.9550 0.9890
4 Ba 0.9057 0.1259 0.4566
5 Pt 0.2487 0.5188 0.1829
6 Pt 0.6726 0.2434 0.8280
7 Pt 0.4897 0.6218 0.8728
8 Pt 0.7861 0.5390 0.2428

## Properties
The volume comes out at 22.70 Å³ per atom. The value obtained for the calculated formation energy is -593 meV per atom. For the density of states at the Fermi level, the calculation gives 2.68 states/eV per cell. As for the space group: P1 (1). For the total DFT energy (no corrections), the calculation gives -4.4128 eV per atom.



Question: What is the formula in the first record?
Answer: BaYPt2



Question: The lowest total DFT energy (no corrections) belongs to which entry?
Answer: BaYPt2